Entry from the Alexandria database: Cr2AgSeO8 after structural relaxation (PBE+U).

Cell lengths 4.475, 4.596, 6.229 Å; angles 88.98, 88.68, 88.76 degrees
Element x y z (fractional)
Cr 0.000 0.001 0.256
Cr 0.000 0.999 0.744
Ag 0.500 0.500 0.000
Se 0.500 0.500 0.500
O 0.199 0.836 0.999
O 0.231 0.817 0.499
O 0.278 0.330 0.710
O 0.294 0.334 0.282
O 0.706 0.666 0.718
O 0.722 0.670 0.290
O 0.769 0.183 0.501
O 0.801 0.164 0.001

Space-group type: No. 2
E_tot, eV/atom: -5.927